Entry 1:
First-principles (GGA-PBE) data for a relaxed structure of Nd12Zn2Hg5, as listed in Alexandria.

a b c (Å): 9.4554 9.4554 9.1025
angles (deg): 94.99 94.99 45.58
With the nearest neighbours (Å) after each atom.
Atoms (fractional coordinates):
Nd 0.0005 0.0005 0.1952  2 Zn 3.03
Nd 0.9995 0.9995 0.8048  2 Zn 3.03
Nd 0.0924 0.5867 0.5643  1 Zn 2.98, 1 Nd 3.23, 1 Hg 3.28
Nd 0.0994 0.5973 0.9844  4 Hg 3.20-3.39, 1 Nd 3.47
Nd 0.4027 0.9006 0.0156  4 Hg 3.20-3.39, 1 Nd 3.47
Nd 0.4133 0.9076 0.4357  1 Zn 2.98, 1 Nd 3.23, 1 Hg 3.28
Nd 0.4661 0.4661 0.3153  1 Hg 2.98, 2 Zn 3.00
Nd 0.5339 0.5339 0.6847  1 Hg 2.98, 2 Zn 3.00
Nd 0.5867 0.0924 0.5643  1 Zn 2.98, 1 Nd 3.23, 1 Hg 3.28
Nd 0.5973 0.0994 0.9844  4 Hg 3.20-3.39, 1 Nd 3.47
Nd 0.9006 0.4027 0.0156  4 Hg 3.20-3.39, 1 Nd 3.47
Nd 0.9076 0.4133 0.4357  1 Zn 2.98, 1 Nd 3.23, 1 Hg 3.28
Zn 0.1659 0.8341 0.5000  1 Zn 2.43
Zn 0.8341 0.1659 0.5000  1 Zn 2.43
Hg 0.2060 0.2060 0.7419  9 Nd 3.31-3.70, 2 Hg 3.68
Hg 0.2724 0.2724 0.2484  9 Nd 3.28-3.50
Hg 0.5000 0.5000 0.0000  6 Nd 2.98-3.20
Hg 0.7276 0.7276 0.7516  9 Nd 3.28-3.50
Hg 0.7940 0.7940 0.2581  9 Nd 3.31-3.70, 2 Hg 3.68

## Properties
The formation energy is -3.5 eV/f.u. The calculation puts the size of the total moment at 0.0 μB per cell.

---

Entry 2:
First-principles (GGA-PBE) data for a relaxed structure of Cs2SnC2, as listed in Alexandria.

a b c (Å): 7.0621 7.0621 7.0621
angles (deg): 138.27 138.27 60.50
With the nearest neighbours (Å) after each atom.
Atoms (fractional coordinates):
Cs 0.2500 0.7500 0.5000  4 C 3.48, 4 Cs 3.56
Cs 0.7500 0.2500 0.5000  4 C 3.48, 4 Cs 3.56
Sn 0.0000 0.0000 0.0000  8 C 3.61, 8 Cs 3.95
C 0.4474 0.4474 0.0000  1 C 1.28
C 0.5526 0.5526 0.0000  1 C 1.28

## Properties
The formation energy is 4.0 eV/f.u. The calculation puts the size of the total moment at 0.0 μB per cell.

---

Entry 3:
First-principles (GGA-PBE) data for a relaxed structure of YMgGa2Ni5, as listed in Alexandria.

a b c (Å): 3.8902 3.8902 8.9625
angles (deg): 90.00 90.00 90.00
With the nearest neighbours (Å) after each atom.
Atoms (fractional coordinates):
Y 0.0000 0.0000 0.0000  12 Ni 2.75-2.76
Mg 0.0000 0.0000 0.5000  8 Ga 3.01, 8 Ni 3.19
Ga 0.5000 0.5000 0.3623  4 Ni 2.34, 1 Ga 2.47
Ga 0.5000 0.5000 0.6377  4 Ni 2.34, 1 Ga 2.47
Ni 0.0000 0.5000 0.2179  2 Ga 2.34
Ni 0.0000 0.5000 0.7821  2 Ga 2.34
Ni 0.5000 0.0000 0.2179  2 Ga 2.34
Ni 0.5000 0.0000 0.7821  2 Ga 2.34
Ni 0.5000 0.5000 0.0000  4 Y 2.75, 8 Ni 2.76

## Properties
The formation energy is -2.0 eV/f.u. The calculation puts the size of the total moment at 0.0 μB per cell.

---

Entry 4:
First-principles (GGA-PBE) data for a relaxed structure of SnBIr2Rh, as listed in Alexandria.

a b c (Å): 4.1663 4.1663 4.2043
angles (deg): 90.00 90.00 90.00
With the nearest neighbours (Å) after each atom.
Atoms (fractional coordinates):
Sn 0.0000 0.0000 0.0000  4 Rh 2.95, 8 Ir 2.96
B 0.5000 0.5000 0.5000  4 Ir 2.08, 2 Rh 2.10
Ir 0.0000 0.5000 0.5000  2 B 2.08
Ir 0.5000 0.0000 0.5000  2 B 2.08
Rh 0.5000 0.5000 0.0000  2 B 2.10

## Properties
The formation energy is -0.6 eV/f.u. The calculation puts the size of the total moment at 0.0 μB per cell.

---

Entry 5:
First-principles (GGA-PBE) data for a relaxed structure of LaAlMo2, as listed in Alexandria.

a b c (Å): 4.5900 4.5900 3.5064
angles (deg): 90.00 90.00 90.00
With the nearest neighbours (Å) after each atom.
Atoms (fractional coordinates):
La 0.0000 0.0000 0.0000  8 Mo 2.89
Al 0.5000 0.5000 0.0000  8 Mo 2.89
Mo 0.0000 0.5000 0.5000  4 Al 2.89, 4 La 2.89
Mo 0.5000 0.0000 0.5000  4 Al 2.89, 4 La 2.89

## Properties
The formation energy is 1.8 eV/f.u. The calculation puts the size of the total moment at 0.0 μB per cell.

---

Entry 6:
First-principles (GGA-PBE) data for a relaxed structure of InMo, as listed in Alexandria.

a b c (Å): 8.7628 8.0705 4.8789
angles (deg): 81.13 65.50 33.37
With the nearest neighbours (Å) after each atom.
Atoms (fractional coordinates):
In 0.0402 0.7098 0.0402  3 In 2.78-2.85, 8 Mo 2.95-3.10
In 0.2902 0.9598 0.2902  3 In 2.78-2.85, 8 Mo 2.95-3.10
In 0.7098 0.0402 0.7098  3 In 2.78-2.85, 8 Mo 2.95-3.10
In 0.9598 0.2902 0.9598  3 In 2.78-2.85, 8 Mo 2.95-3.10
Mo 0.2932 0.2932 0.4568  3 Mo 2.52-2.78
Mo 0.4568 0.4568 0.2932  3 Mo 2.52-2.78
Mo 0.5432 0.5432 0.7068  3 Mo 2.52-2.78
Mo 0.7068 0.7068 0.5432  3 Mo 2.52-2.78

## Properties
The formation energy is 1.2 eV/f.u. The calculation puts the size of the total moment at 0.0 μB per cell.